Entry from OQMD: crystalline Rb2TmAuBr6 at its relaxed geometry (PBE).

Properties
Final energy, eV/f.u.: -33.71

Lattice parameters (Å, degrees): 7.9103 7.9103 7.9103 120.12 120.12 89.79
Atoms (fractional coordinates):
Br 0.2451 0.2451 0.0000
Br 0.7539 0.2461 0.0000
Br 0.2461 0.2461 0.4922
Br 0.7539 0.7539 0.5078
Br 0.2461 0.7539 0.0000
Br 0.7549 0.7549 0.0000
Rb 0.7500 0.2500 0.5000
Rb 0.2500 0.7500 0.5000
Au 0.5000 0.5000 0.0000
Tm 0.0000 0.0000 0.0000



Entry from OQMD: crystalline ErTm2Tl3AgPt2 at its relaxed geometry (PBE).

Properties
Final energy, eV/f.u.: -41.35

Lattice parameters (Å, degrees): 3.7175 7.8997 7.8997 120.05 90.00 90.00
Atoms (fractional coordinates):
Tl 0.5000 0.7285 0.7285
Tl 0.5000 0.2717 0.9998
Tl 0.5000 0.9998 0.2717
Tm 0.0000 0.5899 0.0000
Tm 0.0000 0.0000 0.5899
Pt 0.5000 0.6673 0.3331
Pt 0.5000 0.3331 0.6673
Er 0.0000 0.4099 0.4099
Ag 0.0000 0.9998 0.9998



Entry from OQMD: crystalline Nd2S at its relaxed geometry (PBE).

Properties
Final energy, eV/f.u.: -17.38

Lattice parameters (Å, degrees): 6.6916 6.6916 4.0630 90.00 90.00 90.00
Atoms (fractional coordinates):
Nd 0.2937 0.2937 0.0000
Nd 0.2063 0.7937 0.5000
Nd 0.7063 0.7063 0.0000
Nd 0.7937 0.2063 0.5000
S 0.5000 0.5000 0.5000
S 0.0000 0.0000 0.0000



Q: What is the final energy in the first record?
A: -33.71 eV/f.u.